No. 1
# CdIn2Au (PBE, optimized geometry)
data_CdIn2Au
_cell_length_a 6.858
_cell_length_b 4.568
_cell_length_c 4.563
_cell_angle_alpha 82.21
_cell_angle_beta 61.01
_cell_angle_gamma 120.57
_symmetry_space_group_name_H-M 'P 1'
_symmetry_Int_Tables_number 1
loop_
_symmetry_equiv_pos_as_xyz
'x,y,z'
loop_
_atom_site_label
_atom_site_type_symbol
_atom_site_fract_x
_atom_site_fract_y
_atom_site_fract_z
Cd1 Cd 0.500 0.500 0.000
Au1 Au 0.000 0.500 0.500
In1 In 0.000 0.000 0.000
In2 In 0.500 0.000 0.500
# energy relative to the elements	-36	meV/atom
# SG	No. 12
# M_tot	0.000	μB/atom

***

No. 2
# Ba2ErAg2S4 (PBE, optimized geometry)
data_Ba2ErAg2S4
_cell_length_a 3.990
_cell_length_b 7.789
_cell_length_c 8.179
_cell_angle_alpha 114.10
_cell_angle_beta 104.12
_cell_angle_gamma 90.00
_symmetry_space_group_name_H-M 'P 1'
_symmetry_Int_Tables_number 1
loop_
_symmetry_equiv_pos_as_xyz
'x,y,z'
loop_
_atom_site_label
_atom_site_type_symbol
_atom_site_fract_x
_atom_site_fract_y
_atom_site_fract_z
Ba1 Ba 0.136 0.580 0.273
Ba2 Ba 0.864 0.420 0.727
Er1 Er 0.000 0.000 0.000
Ag1 Ag 0.685 0.008 0.369
Ag2 Ag 0.315 0.992 0.631
S1 S 0.186 0.238 0.373
S2 S 0.814 0.762 0.627
S3 S 0.514 0.758 0.029
S4 S 0.486 0.242 0.971
# energy relative to the elements, uncorrected	-1338	meV/atom
# SG	No. 12
# M_tot	0.000	μB/atom

***

No. 3
# TbPm5Sn3 (PBE, optimized geometry)
data_TbPm5Sn3
_cell_length_a 6.712
_cell_length_b 9.555
_cell_length_c 9.555
_cell_angle_alpha 120.00
_cell_angle_beta 90.00
_cell_angle_gamma 90.00
_symmetry_space_group_name_H-M 'P 1'
_symmetry_Int_Tables_number 1
loop_
_symmetry_equiv_pos_as_xyz
'x,y,z'
loop_
_atom_site_label
_atom_site_type_symbol
_atom_site_fract_x
_atom_site_fract_y
_atom_site_fract_z
Tb1 Tb 0.000 0.000 0.000
Tb2 Tb 0.500 0.000 0.000
Pm1 Pm 0.000 0.667 0.333
Pm2 Pm 0.500 0.333 0.667
Pm3 Pm 0.000 0.333 0.667
Pm4 Pm 0.500 0.667 0.333
Pm5 Pm 0.750 0.667 0.667
Pm6 Pm 0.750 0.000 0.333
Pm7 Pm 0.750 0.333 0.000
Pm8 Pm 0.250 0.333 0.333
Pm9 Pm 0.250 0.000 0.667
Pm10 Pm 0.250 0.667 0.000
Sn1 Sn 0.750 0.332 0.332
Sn2 Sn 0.750 0.000 0.668
Sn3 Sn 0.750 0.668 0.000
Sn4 Sn 0.250 0.668 0.668
Sn5 Sn 0.250 0.000 0.332
Sn6 Sn 0.250 0.332 0.000
# energy relative to the elements	-568	meV/atom
# SG	No. 193
# M_tot	0.307	μB/atom

***

No. 4
# HoTm2ZrS4 (PBE, optimized geometry)
data_HoTm2ZrS4
_cell_length_a 3.824
_cell_length_b 6.602
_cell_length_c 6.620
_cell_angle_alpha 109.66
_cell_angle_beta 90.00
_cell_angle_gamma 90.00
_symmetry_space_group_name_H-M 'P 1'
_symmetry_Int_Tables_number 1
loop_
_symmetry_equiv_pos_as_xyz
'x,y,z'
loop_
_atom_site_label
_atom_site_type_symbol
_atom_site_fract_x
_atom_site_fract_y
_atom_site_fract_z
Ho1 Ho 0.000 0.000 0.000
Tm1 Tm 0.500 0.000 0.500
Tm2 Tm 0.000 0.500 0.500
Zr1 Zr 0.500 0.500 0.000
S1 S 0.500 0.254 0.252
S2 S 0.500 0.746 0.748
S3 S 0.000 0.253 0.751
S4 S 0.000 0.747 0.249
# energy relative to the elements, uncorrected	-1797	meV/atom
# SG	No. 10
# M_tot	0.000	μB/atom

***

No. 5
# NaAcYSn (PBE, optimized geometry)
data_NaAcYSn
_cell_length_a 5.604
_cell_length_b 5.604
_cell_length_c 5.604
_cell_angle_alpha 60.00
_cell_angle_beta 60.00
_cell_angle_gamma 60.00
_symmetry_space_group_name_H-M 'P 1'
_symmetry_Int_Tables_number 1
loop_
_symmetry_equiv_pos_as_xyz
'x,y,z'
loop_
_atom_site_label
_atom_site_type_symbol
_atom_site_fract_x
_atom_site_fract_y
_atom_site_fract_z
Y1 Y 0.750 0.750 0.750
Na1 Na 0.500 0.500 0.500
Ac1 Ac 0.250 0.250 0.250
Sn1 Sn 0.000 0.000 0.000
# energy relative to the elements	-255	meV/atom
# SG	No. 216
# M_tot	0.000	μB/atom

***

No. 6
# Ce3H5N (PBE, optimized geometry)
data_Ce3H5N
_cell_length_a 3.408
_cell_length_b 6.430
_cell_length_c 10.536
_cell_angle_alpha 90.00
_cell_angle_beta 90.00
_cell_angle_gamma 105.37
_symmetry_space_group_name_H-M 'P 1'
_symmetry_Int_Tables_number 1
loop_
_symmetry_equiv_pos_as_xyz
'x,y,z'
loop_
_atom_site_label
_atom_site_type_symbol
_atom_site_fract_x
_atom_site_fract_y
_atom_site_fract_z
Ce1 Ce 0.379 0.758 0.911
Ce2 Ce 0.853 0.705 0.250
Ce3 Ce 0.379 0.758 0.589
Ce4 Ce 0.621 0.242 0.411
Ce5 Ce 0.147 0.295 0.750
Ce6 Ce 0.621 0.242 0.089
H1 H 0.806 0.612 0.463
H2 H 0.194 0.388 0.963
H3 H 0.000 0.000 0.500
H4 H 0.000 0.000 0.000
H5 H 0.433 0.866 0.133
H6 H 0.567 0.134 0.867
H7 H 0.567 0.134 0.633
H8 H 0.806 0.612 0.037
H9 H 0.194 0.388 0.537
H10 H 0.433 0.866 0.367
N1 N 0.808 0.617 0.750
N2 N 0.192 0.383 0.250
# SG	No. 63
# M_tot	0.379	μB/atom
# E_tot	-5.37	eV per atom

***

No. 7
# Ho2Fe2P2C (PBE, optimized geometry)
data_Ho2Fe2P2C
_cell_length_a 3.765
_cell_length_b 5.553
_cell_length_c 5.734
_cell_angle_alpha 70.70
_cell_angle_beta 70.83
_cell_angle_gamma 70.18
_symmetry_space_group_name_H-M 'P 1'
_symmetry_Int_Tables_number 1
loop_
_symmetry_equiv_pos_as_xyz
'x,y,z'
loop_
_atom_site_label
_atom_site_type_symbol
_atom_site_fract_x
_atom_site_fract_y
_atom_site_fract_z
Ho1 Ho 0.561 0.182 0.696
Ho2 Ho 0.439 0.818 0.304
Fe1 Fe 0.196 0.688 0.920
Fe2 Fe 0.804 0.312 0.080
P1 P 0.178 0.364 0.281
P2 P 0.822 0.636 0.719
C1 C 0.000 0.000 0.000
# energy relative to the elements	-916	meV/atom
# SG	No. 12
# M_tot	0.000	μB/atom

***

No. 8
# HgRuW2 (PBE, optimized geometry)
data_HgRuW2
_cell_length_a 4.931
_cell_length_b 4.931
_cell_length_c 4.998
_cell_angle_alpha 79.29
_cell_angle_beta 79.29
_cell_angle_gamma 33.95
_symmetry_space_group_name_H-M 'P 1'
_symmetry_Int_Tables_number 1
loop_
_symmetry_equiv_pos_as_xyz
'x,y,z'
loop_
_atom_site_label
_atom_site_type_symbol
_atom_site_fract_x
_atom_site_fract_y
_atom_site_fract_z
Hg1 Hg 0.498 0.498 0.501
Ru1 Ru 0.737 0.737 0.781
W1 W 0.005 0.005 0.991
W2 W 0.260 0.260 0.227
# energy relative to the elements	520	meV/atom
# E above lowest polymorph	107	meV per atom
# SG	No. 8
# M_tot	0.000	μB/atom